Computed, not measured: Al2CrNi2 after structural relaxation at the PBE level of DFT.

The formation energy is -0.21 eV/atom. As for the distance to the lowest polymorph of the same formula: 22 meV per atom. The value obtained for the size of the total moment is 0.0 μB per cell. Its total DFT energy (no corrections) is -59.49 eV/cell. The value obtained for the density of states at the Fermi level is 1.17 states/eV per atom.

Cell lengths 6.9425, 6.9425, 2.5873 Å; angles 90.00, 90.00, 90.00 degrees
With the nearest neighbours (Å) after each atom.
Space group P4/mbm (No. 127)
Unique sites:
1 Al 0.1682 0.3318 0.0000 (multiplicity 4)  6 Ni 2.37-2.45, 2 Al 2.59
2 Cr 0.0000 0.0000 0.5000 (multiplicity 2)  2 Cr 2.59, 4 Ni 2.73, 8 Al 2.89
3 Ni 0.1292 0.6292 0.5000 (multiplicity 4)  6 Al 2.37-2.45, 3 Ni 2.54-2.59



Computed, not measured: Y2MnAsN after structural relaxation at the PBE level of DFT.

The value obtained for the size of the total moment is 3.1 μB per cell. Its total DFT energy (no corrections) is -31.98 eV/cell. The calculation puts the formation energy (no corrections) at 619 meV per atom. The value obtained for the density of states at the Fermi level is 0.59 states/eV per atom.

Cell lengths 5.3561, 5.3561, 4.3833 Å; angles 90.00, 90.00, 90.00 degrees
With the nearest neighbours (Å) after each atom.
Space group P4/mmm (No. 123)
Unique sites:
1 Y 0.0000 0.5000 0.0000 (multiplicity 2)  2 As 2.68
2 Mn 0.0000 0.0000 0.5000 (multiplicity 1)  2 As 2.19
3 As 0.0000 0.0000 0.0000 (multiplicity 1)  2 Mn 2.19
4 N 0.5000 0.5000 0.5000 (multiplicity 1)  8 Y 3.46, 4 Mn 3.79



Computed, not measured: ThPa2AlC4 after structural relaxation at the PBE level of DFT.

The formation energy is -0.30 eV/atom. The value obtained for the size of the total moment is 0.0 μB per cell. Its total DFT energy (no corrections) is -277.91 eV/cell. The value obtained for the density of states at the Fermi level is 0.26 states/eV per atom.

Cell lengths 3.6116, 11.8020, 11.9388 Å; angles 90.00, 90.00, 90.00 degrees
With the nearest neighbours (Å) after each atom.
Space group Cmcm (No. 63)
Unique sites:
1 Th 0.0000 0.1056 0.2500 (multiplicity 4)  6 C 2.69-2.82
2 Pa 0.0000 0.3698 0.0513 (multiplicity 8)  6 C 2.38-2.55
3 Al 0.0000 0.1595 0.7500 (multiplicity 4)  4 C 2.00-2.13
4 C 0.0000 0.0000 0.0000 (multiplicity 4)  4 Pa 2.45
5 C 0.0000 0.2664 0.6198 (multiplicity 8)  1 Al 2.00
6 C 0.0000 0.4364 0.2500 (multiplicity 4)  2 Al 2.13



Computed, not measured: SmSi2BRu2 after structural relaxation at the PBE level of DFT.

The value obtained for the size of the total moment is 0.0 μB per cell. Its total DFT energy (no corrections) is -44.85 eV/cell. The calculation puts the formation energy (no corrections) at -676 meV per atom. The value obtained for the density of states at the Fermi level is 0.40 states/eV per atom.

Cell lengths 4.1318, 4.1318, 5.3526 Å; angles 90.00, 90.00, 90.00 degrees
With the nearest neighbours (Å) after each atom.
Space group P4/mmm (No. 123)
Unique sites:
1 Sm 0.0000 0.0000 0.0000 (multiplicity 1)  2 B 2.68
2 Si 0.5000 0.5000 0.2222 (multiplicity 2)  1 Si 2.38, 4 Ru 2.55
3 B 0.0000 0.0000 0.5000 (multiplicity 1)  4 Ru 2.07
4 Ru 0.0000 0.5000 0.5000 (multiplicity 2)  2 B 2.07